Record 1
Entry from the Alexandria database: an optimized crystal structure of Ti4Sn2P (GGA-PBE).

Results
Symmetry: Pbam, No. 55
ΔE_f: -12.1 kcal/mol of atoms

Lattice parameters (Å, degrees): 3.280 7.689 10.422 90.00 90.00 90.00
Sites, in units of the cell vectors:
1 Ti 0.000 0.643 0.797
2 Ti 0.500 0.306 0.912
3 Sn 0.500 0.932 0.863
4 P 0.000 0.500 0.000
5 Ti 0.000 0.357 0.203
6 Sn 0.500 0.568 0.363
7 Sn 0.500 0.432 0.637
8 P 0.000 0.000 0.500
9 Ti 0.000 0.857 0.297
10 Sn 0.500 0.068 0.137
11 Ti 0.000 0.143 0.703
12 Ti 0.500 0.694 0.088
13 Ti 0.500 0.806 0.588
14 Ti 0.500 0.194 0.412

=====

Record 2
Entry from the Alexandria database: an optimized crystal structure of Cs4LiPa3O12 (GGA-PBE).

Results
Symmetry: Im-3m, No. 229
Formation energy (no corrections): -231.3 kJ per mole of atoms

Lattice parameters (Å, degrees): 7.839 7.839 7.839 109.47 109.47 109.47
Sites, in units of the cell vectors:
1 Cs 0.500 0.000 0.000
2 Li 0.000 0.000 0.000
3 O 0.000 0.719 0.719
4 O 0.281 0.281 0.000
5 O 0.281 0.000 0.281
6 Cs 0.500 0.500 0.500
7 O 0.500 0.750 0.250
8 O 0.250 0.750 0.500
9 O 0.250 0.500 0.750
10 Cs 0.000 0.000 0.500
11 O 0.750 0.500 0.250
12 O 0.719 0.000 0.719
13 Pa 0.000 0.500 0.500
14 O 0.000 0.281 0.281
15 Cs 0.000 0.500 0.000
16 O 0.500 0.250 0.750
17 Pa 0.500 0.000 0.500
18 O 0.750 0.250 0.500
19 O 0.719 0.719 0.000
20 Pa 0.500 0.500 0.000